# 1
An optimized crystal structure of La2CeNd3Y6. Source: Alexandria, functional PBE-GGA.

a b c (Å): 6.305 6.305 11.898
angles (deg): 95.06 95.06 120.01
Atoms (fractional coordinates):
1 La 0.167 0.833 0.000
2 La 0.833 0.167 0.000
3 Ce 0.500 0.500 0.000
4 Nd 0.000 0.000 0.500
5 Nd 0.333 0.667 0.500
6 Nd 0.667 0.333 0.500
7 Y 0.086 0.417 0.750
8 Y 0.252 0.252 0.250
9 Y 0.417 0.086 0.750
10 Y 0.583 0.914 0.250
11 Y 0.748 0.748 0.750
12 Y 0.914 0.583 0.250

* total moment: 1.107 μB per formula unit
* ΔH_f (0 K): 30.2 meV/atom
* D(E_F): 19.076 states/eV/f.u.

# 2
An optimized crystal structure of LaCeNd6Y2. Source: Alexandria, functional PBE-GGA.

a b c (Å): 6.694 6.694 9.047
angles (deg): 101.24 101.24 62.73
Atoms (fractional coordinates):
1 La 0.000 0.000 0.000
2 Ce 0.500 0.500 0.500
3 Nd 0.069 0.597 0.698
4 Nd 0.367 0.367 0.082
5 Nd 0.403 0.931 0.302
6 Nd 0.597 0.069 0.698
7 Nd 0.633 0.633 0.918
8 Nd 0.931 0.403 0.302
9 Y 0.095 0.095 0.659
10 Y 0.905 0.905 0.341

* total moment: 1.398 μB per formula unit
* ΔH_f (0 K): 227.7 meV/atom
* D(E_F): 23.550 states/eV/f.u.

# 3
An optimized crystal structure of LaCeNdY2. Source: Alexandria, functional PBE-GGA.

a b c (Å): 8.659 6.446 6.185
angles (deg): 90.00 97.46 90.00
Atoms (fractional coordinates):
1 La 0.000 0.000 0.000
2 La 0.000 0.000 0.500
3 Ce 0.000 0.454 0.250
4 Ce 0.000 0.546 0.750
5 Nd 0.500 0.167 0.250
6 Nd 0.500 0.833 0.750
7 Y 0.310 0.325 0.711
8 Y 0.310 0.675 0.211
9 Y 0.690 0.325 0.789
10 Y 0.690 0.675 0.289

* total moment: 0.750 μB per formula unit
* ΔH_f (0 K): 281.1 meV/atom
* D(E_F): 11.570 states/eV/f.u.

# 4
An optimized crystal structure of LaCeNdZn. Source: Alexandria, functional PBE-GGA.

a b c (Å): 5.392 5.392 5.392
angles (deg): 60.00 60.00 60.00
Atoms (fractional coordinates):
1 La 0.000 0.000 0.000
2 Ce 0.250 0.250 0.250
3 Nd 0.500 0.500 0.500
4 Zn 0.750 0.750 0.750

* total moment: 2.425 μB per formula unit
* ΔH_f (0 K): 88.8 meV/atom
* D(E_F): 8.271 states/eV/f.u.

# 5
An optimized crystal structure of LaCeNi2. Source: Alexandria, functional PBE-GGA.

a b c (Å): 3.715 4.162 5.981
angles (deg): 90.00 107.99 90.00
Atoms (fractional coordinates):
1 La 0.000 0.000 0.000
2 Ce 0.738 0.500 0.473
3 Ni 0.274 0.000 0.545
4 Ni 0.420 0.500 0.839

* total moment: 0.048 μB per formula unit
* ΔH_f (0 K): -314.1 meV/atom
* D(E_F): 5.140 states/eV/f.u.

# 6
An optimized crystal structure of LaCeNi2. Source: Alexandria, functional PBE-GGA.

a b c (Å): 3.485 3.485 6.942
angles (deg): 90.00 90.00 90.00
Atoms (fractional coordinates):
1 La 0.000 0.000 0.000
2 Ce 0.000 0.000 0.500
3 Ni 0.500 0.500 0.296
4 Ni 0.500 0.500 0.704

* total moment: 0.000 μB per formula unit
* ΔH_f (0 K): -256.4 meV/atom
* D(E_F): 5.660 states/eV/f.u.

# 7
An optimized crystal structure of La2Ce2Ni15. Source: Alexandria, functional PBE-GGA.

a b c (Å): 6.538 6.538 6.538
angles (deg): 82.13 82.13 82.13
Atoms (fractional coordinates):
1 La 0.142 0.142 0.142
2 La 0.858 0.858 0.858
3 Ce 0.391 0.391 0.391
4 Ce 0.609 0.609 0.609
5 Ni 0.000 0.500 0.500
6 Ni 0.157 0.157 0.664
7 Ni 0.157 0.664 0.157
8 Ni 0.188 0.500 0.812
9 Ni 0.188 0.812 0.500
10 Ni 0.336 0.843 0.843
11 Ni 0.500 0.000 0.500
12 Ni 0.500 0.188 0.812
13 Ni 0.500 0.500 0.000
14 Ni 0.500 0.812 0.188
15 Ni 0.664 0.157 0.157
16 Ni 0.812 0.188 0.500
17 Ni 0.812 0.500 0.188
18 Ni 0.843 0.336 0.843
19 Ni 0.843 0.843 0.336

* total moment: 0.000 μB per formula unit
* ΔH_f (0 K): -248.1 meV/atom
* D(E_F): 24.676 states/eV/f.u.

# 8
An optimized crystal structure of LaCeNi2. Source: Alexandria, functional PBE-GGA.

a b c (Å): 4.922 4.922 4.922
angles (deg): 60.00 60.00 60.00
Atoms (fractional coordinates):
1 La 0.000 0.000 0.000
2 Ce 0.500 0.500 0.500
3 Ni 0.250 0.250 0.250
4 Ni 0.750 0.750 0.750

* total moment: 0.583 μB per formula unit
* ΔH_f (0 K): -208.2 meV/atom
* D(E_F): 7.312 states/eV/f.u.